Entry 1:
DFT (PBE) results for an optimized crystal structure of KNa2Ag.

Structure (CIF):
```
data_KNa2Ag
_chemical_formula_sum 'K1 Na2 Ag1'
_space_group_name_H-M_alt 'P 4/m m m'
_space_group_IT_number 123
_space_group_name_Hall '-P 4 2'
_cell_length_a 3.8569
_cell_length_b 3.8569
_cell_length_c 9.6288
_cell_angle_alpha 90.00
_cell_angle_beta 90.00
_cell_angle_gamma 90.00
loop_
_atom_site_label
_atom_site_type_symbol
_atom_site_fract_x
_atom_site_fract_y
_atom_site_fract_z
K1 K 0.0000 0.0000 0.0000
Na1 Na 0.5000 0.5000 0.3308
Ag1 Ag 0.0000 0.0000 0.5000
```

Output
The value obtained for the calculated volume is 143 Å³/f.u. The energy of formation from the pure elements is 0.0620 eV per atom. The value obtained for the distance to the lowest polymorph of the same formula is 0.0622 eV per atom.

Entry 2:
DFT (PBE) results for an optimized crystal structure of KNaAg.

Structure (CIF):
```
data_KNaAg
_chemical_formula_sum 'K4 Na4 Ag4'
_space_group_name_H-M_alt 'I m m a'
_space_group_IT_number 74
_space_group_name_Hall '-I 2b 2'
_cell_length_a 6.2294
_cell_length_b 6.7388
_cell_length_c 9.1235
_cell_angle_alpha 90.00
_cell_angle_beta 90.00
_cell_angle_gamma 90.00
loop_
_atom_site_label
_atom_site_type_symbol
_atom_site_fract_x
_atom_site_fract_y
_atom_site_fract_z
K1 K 0.0000 0.2500 0.1128
Na1 Na 0.0000 0.0000 0.5000
Ag1 Ag 0.2500 0.2500 0.7500
```

Output
The value obtained for the calculated volume is 96 Å³/f.u. The energy of formation from the pure elements is 0.0365 eV per atom. The value obtained for the distance to the lowest polymorph of the same formula is 0.0235 eV per atom.

Entry 3:
DFT (PBE) results for an optimized crystal structure of K2Na17Ag2.

Structure (CIF):
```
data_K2Na17Ag2
_chemical_formula_sum 'K4 Na34 Ag4'
_space_group_name_H-M_alt 'C 1 2/m 1'
_space_group_IT_number 12
_space_group_name_Hall '-C 2y'
_cell_length_a 14.3491
_cell_length_b 12.3938
_cell_length_c 9.4343
_cell_angle_alpha 90.00
_cell_angle_beta 100.86
_cell_angle_gamma 90.00
loop_
_atom_site_label
_atom_site_type_symbol
_atom_site_fract_x
_atom_site_fract_y
_atom_site_fract_z
K1 K 0.1740 0.0000 0.3527
Na1 Na 0.0000 0.1625 0.0000
Na2 Na 0.0000 0.5000 0.5000
Na3 Na 0.0897 0.2487 0.6597
Na4 Na 0.1017 0.5000 0.9012
Na5 Na 0.1246 0.3561 0.2555
Na6 Na 0.1636 0.0000 0.8265
Na7 Na 0.2500 0.2500 0.0000
Ag1 Ag 0.2500 0.2500 0.5000
```

Output
The value obtained for the calculated volume is 824 Å³/f.u. The energy of formation from the pure elements is 0.0478 eV per atom.

Entry 4:
DFT (PBE) results for an optimized crystal structure of K2Na4Ag.

Structure (CIF):
```
data_K2Na4Ag
_chemical_formula_sum 'K4 Na8 Ag2'
_space_group_name_H-M_alt 'I 4/m m m'
_space_group_IT_number 139
_space_group_name_Hall '-I 4 2'
_cell_length_a 5.7922
_cell_length_b 5.7922
_cell_length_c 19.4411
_cell_angle_alpha 90.00
_cell_angle_beta 90.00
_cell_angle_gamma 90.00
loop_
_atom_site_label
_atom_site_type_symbol
_atom_site_fract_x
_atom_site_fract_y
_atom_site_fract_z
K1 K 0.0000 0.0000 0.1463
Na1 Na 0.0000 0.0000 0.3488
Na2 Na 0.0000 0.5000 0.0000
Ag1 Ag 0.0000 0.0000 0.5000
```

Output
The value obtained for the calculated volume is 326 Å³/f.u. The energy of formation from the pure elements is 0.0689 eV per atom.